Record 1
VASP calculation (PBE) on a geometry-optimized HgPdO3 structure. Values from VASP.

```
&SYSTEM
  ibrav = 0, nat = 10, ntyp = 3
/
ATOMIC_SPECIES
O 16.00 O.upf
Hg 200.59 Hg.upf
Pd 106.42 Pd.upf
CELL_PARAMETERS angstrom
3.2548 -3.8519 -2.0181
4.2777 1.5703 -2.9561
4.9447 -0.5560 2.1781
ATOMIC_POSITIONS angstrom
O 5.4357 0.4222 -1.7361
O 4.6766 -2.4119 -2.2477
O 7.0414 -3.2598 -1.0600
Hg 9.3578 -2.1282 -2.0971
O 7.8006 -0.4257 -0.5484
O 6.9930 -1.2803 -3.2847
Pd 0.0000 0.0000 0.0000
Hg 3.1193 -0.7094 -0.6990
Pd 6.2386 -1.4188 -1.3980
O 5.4841 -1.5573 0.4886
```

Record 2
VASP calculation (PBE) on a geometry-optimized Ho5O structure. Values from VASP.

```
&SYSTEM
  ibrav = 0, nat = 6, ntyp = 2
/
ATOMIC_SPECIES
Ho 164.93 Ho.upf
O 16.00 O.upf
CELL_PARAMETERS angstrom
-3.1756 2.1392 4.8132
1.1384 -6.0233 -0.5015
5.0657 0.7052 3.0288
ATOMIC_POSITIONS angstrom
Ho 0.9450 1.4222 3.9210
O 0.0000 0.0000 0.0000
Ho 1.5142 -1.5894 3.6703
Ho -1.7376 -0.5816 3.0416
Ho 3.1020 -2.6590 1.2637
Ho -0.2996 -3.3025 1.2701
```

Record 3
VASP calculation (PBE) on a geometry-optimized HfZrSnC structure. Values from VASP.

```
&SYSTEM
  ibrav = 0, nat = 8, ntyp = 4
/
ATOMIC_SPECIES
Zr 91.22 Zr.upf
C 12.01 C.upf
Hf 178.49 Hf.upf
Sn 118.71 Sn.upf
CELL_PARAMETERS angstrom
3.3553 0.0000 0.0000
-1.6776 2.9058 0.0000
0.0000 0.0000 14.6681
ATOMIC_POSITIONS angstrom
Zr 1.6777 0.9686 8.5886
C 0.0000 0.0000 14.6278
Zr 0.0000 1.9372 1.2546
Hf 0.0000 1.9372 6.1010
Sn 1.6777 0.9686 3.6858
Sn 0.0000 1.9372 11.0199
Hf 1.6777 0.9686 13.4351
C 0.0000 0.0000 7.2938
```

Output
polymorph energy (0 for the lowest one) = 0.1 meV/atom

Record 4
VASP calculation (PBE) on a geometry-optimized Nd2Dy2CCl4F structure. Values from VASP.

```
&SYSTEM
  ibrav = 0, nat = 10, ntyp = 5
/
ATOMIC_SPECIES
Cl 35.45 Cl.upf
Nd 144.24 Nd.upf
Dy 162.50 Dy.upf
F 19.00 F.upf
C 12.01 C.upf
CELL_PARAMETERS angstrom
-1.7908 3.6018 7.7888
-0.2850 0.3524 8.7544
6.7456 2.7108 -1.3973
ATOMIC_POSITIONS angstrom
Cl 2.0103 1.6043 2.2639
Nd 5.1408 2.0794 -1.0192
Nd -0.4710 4.5855 16.1651
Dy 5.4664 3.9058 4.6189
Cl -0.5883 3.7083 13.3962
Cl 5.2580 2.9566 1.7497
Dy -0.7966 2.7592 10.5270
F 2.3349 3.3325 7.5729
Cl 2.6595 5.0606 12.8820
C -1.0379 1.9771 8.2716
```

Theoretical density, respectively: 9.95 7.17 9.30 5.67 Mg/m³.
Total energy, respectively: -4.2319 -3.7766 -8.7123 -5.5799 eV per atom.